# ZrTeC3, optimized geometry, DFT PBE
# Calculated density: 6.10 g/cm³
# Total energy: -5.689 eV per atom
# Energy above the lowest structure with this stoichiometry: 0 meV/atom
# Formation energy without anion corrections: 2.18 eV per atom
# Size of the total moment: 0.00 μB per formula unit
data_ZrTeC3
_chemical_formula_sum 'Zr1 Te1 C3'
_space_group_name_H-M_alt 'P 1'
_space_group_IT_number 1
_cell_length_a 4.109
_cell_length_b 4.109
_cell_length_c 4.109
_cell_angle_alpha 90.00
_cell_angle_beta 90.00
_cell_angle_gamma 90.00
loop_
_space_group_symop_operation_xyz
'x,y,z'
loop_
_atom_site_label
_atom_site_fract_x
_atom_site_fract_y
_atom_site_fract_z
Zr1 0.000 0.000 0.000
Te1 0.500 0.500 0.500
C1 0.000 0.500 0.500
C2 0.500 0.000 0.500
C3 0.500 0.500 0.000

---

# ThC, optimized geometry, DFT PBE
# Calculated density: 10.63 g/cm³
# Total energy: -8.598 eV per atom
# Energy above the lowest structure with this stoichiometry: 0 meV/atom
# Size of the total moment: 0.00 μB per formula unit
data_ThC
_chemical_formula_sum 'Th4 C4'
_space_group_name_H-M_alt 'P 1'
_space_group_IT_number 1
_cell_length_a 5.343
_cell_length_b 5.343
_cell_length_c 5.343
_cell_angle_alpha 90.00
_cell_angle_beta 90.00
_cell_angle_gamma 90.00
loop_
_space_group_symop_operation_xyz
'x,y,z'
loop_
_atom_site_label
_atom_site_fract_x
_atom_site_fract_y
_atom_site_fract_z
Th1 0.000 0.000 0.000
Th2 0.000 0.500 0.500
Th3 0.500 0.000 0.500
Th4 0.500 0.500 0.000
C1 0.000 0.000 0.500
C2 0.000 0.500 0.000
C3 0.500 0.000 0.000
C4 0.500 0.500 0.500

---

# ThC2, optimized geometry, DFT PBE
# Calculated density: 9.06 g/cm³
# Total energy: -8.874 eV per atom
# Size of the total moment: 0.00 μB per formula unit
data_ThC2
_chemical_formula_sum 'Th4 C8'
_space_group_name_H-M_alt 'P 1'
_space_group_IT_number 1
_cell_length_a 6.747
_cell_length_b 4.233
_cell_length_c 6.755
_cell_angle_alpha 90.00
_cell_angle_beta 103.45
_cell_angle_gamma 90.00
loop_
_space_group_symop_operation_xyz
'x,y,z'
loop_
_atom_site_label
_atom_site_fract_x
_atom_site_fract_y
_atom_site_fract_z
Th1 0.000 0.207 0.250
Th2 0.000 0.793 0.750
Th3 0.500 0.293 0.750
Th4 0.500 0.707 0.250
C1 0.199 0.369 0.947
C2 0.199 0.631 0.447
C3 0.301 0.131 0.053
C4 0.301 0.869 0.553
C5 0.699 0.131 0.447
C6 0.699 0.869 0.947
C7 0.801 0.369 0.553
C8 0.801 0.631 0.053

---

# Th5C, optimized geometry, DFT PBE
# Calculated density: 11.45 g/cm³
# Total energy: -7.832 eV per atom
# Size of the total moment: 0.00 μB per formula unit
data_Th5C
_chemical_formula_sum 'Th5 C1'
_space_group_name_H-M_alt 'P 1'
_space_group_IT_number 1
_cell_length_a 14.996
_cell_length_b 14.996
_cell_length_c 14.996
_cell_angle_alpha 13.93
_cell_angle_beta 13.93
_cell_angle_gamma 13.93
loop_
_space_group_symop_operation_xyz
'x,y,z'
loop_
_atom_site_label
_atom_site_fract_x
_atom_site_fract_y
_atom_site_fract_z
Th1 0.000 0.000 0.000
Th2 0.200 0.200 0.200
Th3 0.397 0.397 0.397
Th4 0.603 0.603 0.603
Th5 0.800 0.800 0.800
C1 0.500 0.500 0.500

---

# Th4C, optimized geometry, DFT PBE
# Calculated density: 11.30 g/cm³
# Total energy: -7.853 eV per atom
# Size of the total moment: 0.00 μB per formula unit
data_Th4C
_chemical_formula_sum 'Th4 C1'
_space_group_name_H-M_alt 'P 1'
_space_group_IT_number 1
_cell_length_a 5.169
_cell_length_b 5.169
_cell_length_c 5.169
_cell_angle_alpha 90.00
_cell_angle_beta 90.00
_cell_angle_gamma 90.00
loop_
_space_group_symop_operation_xyz
'x,y,z'
loop_
_atom_site_label
_atom_site_fract_x
_atom_site_fract_y
_atom_site_fract_z
Th1 0.000 0.000 0.000
Th2 0.000 0.500 0.500
Th3 0.500 0.000 0.500
Th4 0.500 0.500 0.000
C1 0.500 0.500 0.500

---

# Th2C3, optimized geometry, DFT PBE
# Calculated density: 10.58 g/cm³
# Total energy: -8.765 eV per atom
# Size of the total moment: 0.00 μB per formula unit
data_Th2C3
_chemical_formula_sum 'Th8 C12'
_space_group_name_H-M_alt 'P 1'
_space_group_IT_number 1
_cell_length_a 7.415
_cell_length_b 7.415
_cell_length_c 7.415
_cell_angle_alpha 109.47
_cell_angle_beta 109.47
_cell_angle_gamma 109.47
loop_
_space_group_symop_operation_xyz
'x,y,z'
loop_
_atom_site_label
_atom_site_fract_x
_atom_site_fract_y
_atom_site_fract_z
Th1 0.000 0.096 0.500
Th2 0.000 0.596 0.500
Th3 0.096 0.500 0.000
Th4 0.404 0.404 0.404
Th5 0.500 0.000 0.096
Th6 0.500 0.000 0.596
Th7 0.596 0.500 0.000
Th8 0.904 0.904 0.904
C1 0.042 0.792 0.250
C2 0.208 0.958 0.250
C3 0.250 0.042 0.792
C4 0.250 0.208 0.958
C5 0.292 0.542 0.750
C6 0.458 0.708 0.750
C7 0.542 0.750 0.292
C8 0.708 0.750 0.458
C9 0.750 0.292 0.542
C10 0.750 0.458 0.708
C11 0.792 0.250 0.042
C12 0.958 0.250 0.208

---

# Th4C3, optimized geometry, DFT PBE
# Calculated density: 10.51 g/cm³
# Total energy: -8.457 eV per atom
# Energy above the lowest structure with this stoichiometry: 0 meV/atom
# Size of the total moment: 0.00 μB per formula unit
data_Th4C3
_chemical_formula_sum 'Th4 C3'
_space_group_name_H-M_alt 'P 1'
_space_group_IT_number 1
_cell_length_a 12.720
_cell_length_b 12.720
_cell_length_c 12.720
_cell_angle_alpha 16.94
_cell_angle_beta 16.94
_cell_angle_gamma 16.94
loop_
_space_group_symop_operation_xyz
'x,y,z'
loop_
_atom_site_label
_atom_site_fract_x
_atom_site_fract_y
_atom_site_fract_z
Th1 0.120 0.120 0.120
Th2 0.374 0.374 0.374
Th3 0.626 0.626 0.626
Th4 0.880 0.880 0.880
C1 0.000 0.000 0.000
C2 0.247 0.247 0.247
C3 0.753 0.753 0.753

---

# Th4C3, optimized geometry, DFT PBE
# Calculated density: 10.74 g/cm³
# Total energy: -8.416 eV per atom
# Energy above the lowest structure with this stoichiometry: 41 meV/atom
# Size of the total moment: 0.00 μB per formula unit
data_Th4C3
_chemical_formula_sum 'Th4 C3'
_space_group_name_H-M_alt 'P 1'
_space_group_IT_number 1
_cell_length_a 5.303
_cell_length_b 5.303
_cell_length_c 5.303
_cell_angle_alpha 90.00
_cell_angle_beta 90.00
_cell_angle_gamma 90.00
loop_
_space_group_symop_operation_xyz
'x,y,z'
loop_
_atom_site_label
_atom_site_fract_x
_atom_site_fract_y
_atom_site_fract_z
Th1 0.000 0.000 0.000
Th2 0.000 0.500 0.500
Th3 0.500 0.000 0.500
Th4 0.500 0.500 0.000
C1 0.000 0.000 0.500
C2 0.000 0.500 0.000
C3 0.500 0.000 0.000

---

# ThC2, optimized geometry, DFT PBE
# Calculated density: 8.69 g/cm³
# Total energy: -8.488 eV per atom
# Size of the total moment: 0.00 μB per formula unit
data_ThC2
_chemical_formula_sum 'Th4 C8'
_space_group_name_H-M_alt 'P 1'
_space_group_IT_number 1
_cell_length_a 5.805
_cell_length_b 5.805
_cell_length_c 5.805
_cell_angle_alpha 90.00
_cell_angle_beta 90.00
_cell_angle_gamma 90.00
loop_
_space_group_symop_operation_xyz
'x,y,z'
loop_
_atom_site_label
_atom_site_fract_x
_atom_site_fract_y
_atom_site_fract_z
Th1 0.000 0.000 0.000
Th2 0.000 0.500 0.500
Th3 0.500 0.000 0.500
Th4 0.500 0.500 0.000
C1 0.067 0.567 0.933
C2 0.067 0.933 0.433
C3 0.433 0.067 0.933
C4 0.433 0.433 0.433
C5 0.567 0.567 0.567
C6 0.567 0.933 0.067
C7 0.933 0.067 0.567
C8 0.933 0.433 0.067

---

# Th5C4, optimized geometry, DFT PBE
# Calculated density: 10.49 g/cm³
# Total energy: -7.753 eV per atom
# Energy above the lowest structure with this stoichiometry: 497 meV/atom
# Size of the total moment: 0.00 μB per formula unit
data_Th5C4
_chemical_formula_sum 'Th5 C4'
_space_group_name_H-M_alt 'P 1'
_space_group_IT_number 1
_cell_length_a 7.593
_cell_length_b 7.593
_cell_length_c 3.471
_cell_angle_alpha 93.55
_cell_angle_beta 93.55
_cell_angle_gamma 73.52
loop_
_space_group_symop_operation_xyz
'x,y,z'
loop_
_atom_site_label
_atom_site_fract_x
_atom_site_fract_y
_atom_site_fract_z
Th1 0.000 0.000 0.000
Th2 0.250 0.250 0.385
Th3 0.314 0.686 0.000
Th4 0.686 0.314 0.000
Th5 0.750 0.750 0.615
C1 0.061 0.699 0.424
C2 0.301 0.939 0.576
C3 0.699 0.061 0.424
C4 0.939 0.301 0.576

---

# ThC2, optimized geometry, DFT PBE
# Calculated density: 8.83 g/cm³
# Total energy: -8.548 eV per atom
# Size of the total moment: 0.00 μB per formula unit
data_ThC2
_chemical_formula_sum 'Th2 C4'
_space_group_name_H-M_alt 'P 1'
_space_group_IT_number 1
_cell_length_a 4.294
_cell_length_b 4.294
_cell_length_c 5.223
_cell_angle_alpha 90.00
_cell_angle_beta 90.00
_cell_angle_gamma 90.00
loop_
_space_group_symop_operation_xyz
'x,y,z'
loop_
_atom_site_label
_atom_site_fract_x
_atom_site_fract_y
_atom_site_fract_z
Th1 0.000 0.500 0.000
Th2 0.500 0.000 0.500
C1 0.000 0.346 0.500
C2 0.000 0.654 0.500
C3 0.346 0.000 0.000
C4 0.654 0.000 0.000

---

# ThC4, optimized geometry, DFT PBE
# Calculated density: 4.83 g/cm³
# Total energy: -5.038 eV per atom
# Size of the total moment: 1.42 μB per formula unit
data_ThC4
_chemical_formula_sum 'Th1 C4'
_space_group_name_H-M_alt 'P 1'
_space_group_IT_number 1
_cell_length_a 4.584
_cell_length_b 4.584
_cell_length_c 4.584
_cell_angle_alpha 90.00
_cell_angle_beta 90.00
_cell_angle_gamma 90.00
loop_
_space_group_symop_operation_xyz
'x,y,z'
loop_
_atom_site_label
_atom_site_fract_x
_atom_site_fract_y
_atom_site_fract_z
Th1 0.000 0.000 0.000
C1 0.000 0.000 0.500
C2 0.000 0.500 0.000
C3 0.500 0.000 0.000
C4 0.500 0.500 0.500